Density functional theory data (PBE-GGA) for an optimized crystal structure of Cr9In7S24.

## Properties
Uncorrected formation energy (eV/atom): -0.6238
Crystal system: monoclinic
ρ (g/cm³): 4.03

Geometry as extended XYZ:
```
40
Lattice="6.329 -11.064 0.000 6.329 11.064 0.000 -4.151 0.000 6.004" Properties=species:S:1:pos:R:3 pbc="T T T"
Cr 0.000 0.000 0.000
Cr 3.072 1.816 0.044
Cr 3.072 -1.816 0.044
Cr 2.204 3.639 5.997
Cr 4.228 3.661 3.076
Cr 5.278 1.903 5.931
Cr 2.204 -3.639 5.997
Cr 4.228 -3.661 3.076
Cr 5.278 -1.903 5.931
In 6.282 7.370 2.255
In 2.111 0.000 3.800
In 5.205 5.363 5.932
In 6.284 0.000 2.272
In 6.282 -7.370 2.255
In 5.205 -5.363 5.932
In 10.320 0.000 3.120
S 5.091 9.380 1.336
S 3.224 9.300 4.802
S 0.036 3.543 4.764
S 2.330 3.585 1.494
S 2.048 0.000 1.291
S -0.187 0.000 4.722
S 3.096 5.226 4.469
S 5.218 5.239 1.481
S 5.086 2.035 1.422
S 3.309 2.043 4.578
S 0.036 -3.543 4.764
S 2.330 -3.585 1.494
S 6.158 3.500 4.434
S 5.086 -2.035 1.422
S 8.308 3.465 1.313
S 3.309 -2.043 4.578
S 3.096 -5.226 4.469
S 5.218 -5.239 1.481
S 8.533 0.000 1.217
S 6.375 0.000 4.768
S 8.308 -3.465 1.313
S 6.158 -3.500 4.434
S 5.091 -9.380 1.336
S 3.224 -9.300 4.802
```